Entry one
Below is a relaxed structure of TlRuI2N, with properties calculated at the PBE-GGA level.

Cell: 5.803 5.803 3.774 Å, 90.00 90.00 90.00°
Atoms (fractional coordinates):
I 0.500 0.000 0.000
Ru 0.000 0.000 0.000
I 0.000 0.500 0.000
Tl 0.500 0.500 0.500
N 0.000 0.000 0.500

Its crystal system is tetragonal. As for the density of states at the Fermi level: 0.455 states/eV/atom. The density comes out at 7.49 g/cm3.



Entry two
Below is a relaxed structure of TlRuI2N, with properties calculated at the PBE-GGA level.

Cell: 6.179 6.179 4.017 Å, 90.00 90.00 90.00°
Atoms (fractional coordinates):
Tl 0.000 0.000 0.000
I 0.000 0.500 0.000
Ru 0.500 0.500 0.500
N 0.000 0.000 0.500
I 0.500 0.000 0.000

Its crystal system is tetragonal. As for the density of states at the Fermi level: 2.033 states/eV/atom. The density comes out at 6.21 g/cm3.



Which of them is most stable? Easy: entry one.



Entry one
Below is a relaxed structure of RuWIN2, with properties calculated at the PBE-GGA level.

Cell: 3.887 3.887 5.833 Å, 90.00 90.00 90.00°
Atoms (fractional coordinates):
Ru 0.000 0.000 0.000
N 0.000 0.500 0.000
W 0.500 0.500 0.500
I 0.000 0.000 0.500
N 0.500 0.000 0.000

Its crystal system is tetragonal. As for the density of states at the Fermi level: 0.875 states/eV/atom. The density comes out at 8.29 g/cm3.



Entry two
Below is a relaxed structure of RuWIN2, with properties calculated at the PBE-GGA level.

Cell: 3.911 3.911 5.878 Å, 90.00 90.00 90.00°
Atoms (fractional coordinates):
I 0.000 0.000 0.500
W 0.000 0.000 0.000
Ru 0.500 0.500 0.500
N 0.500 0.000 0.000
N 0.000 0.500 0.000

Its crystal system is tetragonal. As for the density of states at the Fermi level: 1.505 states/eV/atom. The density comes out at 8.12 g/cm3.



Which of them is most stable? Easy: entry two.



Entry one
Below is a relaxed structure of YRuI2N, with properties calculated at the PBE-GGA level.

Cell: 5.665 5.665 3.735 Å, 90.00 90.00 90.00°
Atoms (fractional coordinates):
N 0.000 0.000 0.500
Ru 0.000 0.000 0.000
Y 0.500 0.500 0.500
I 0.500 0.000 0.000
I 0.000 0.500 0.000

Its crystal system is tetragonal. As for the density of states at the Fermi level: 0.743 states/eV/atom. The density comes out at 6.34 g/cm3.



Entry two
Below is a relaxed structure of YRuI2N, with properties calculated at the PBE-GGA level.

Cell: 6.123 6.123 4.088 Å, 90.00 90.00 90.00°
Atoms (fractional coordinates):
N 0.000 0.000 0.500
Ru 0.500 0.500 0.500
I 0.500 0.000 0.000
Y 0.000 0.000 0.000
I 0.000 0.500 0.000

Its crystal system is tetragonal. As for the density of states at the Fermi level: 0.804 states/eV/atom. The density comes out at 4.96 g/cm3.



Which of them is most stable? Easy: entry one.



Entry one
Below is a relaxed structure of ZrRuIN2, with properties calculated at the PBE-GGA level.

Cell: 4.136 4.136 6.095 Å, 90.00 90.00 90.00°
Atoms (fractional coordinates):
N 0.000 0.500 0.000
N 0.500 0.000 0.000
I 0.000 0.000 0.500
Zr 0.000 0.000 0.000
Ru 0.500 0.500 0.500

Its crystal system is tetragonal. As for the density of states at the Fermi level: 1.406 states/eV/atom. The density comes out at 5.53 g/cm3.



Entry two
Below is a relaxed structure of ZrRuIN2, with properties calculated at the PBE-GGA level.

Cell: 3.984 3.984 5.385 Å, 90.00 90.00 90.00°
Atoms (fractional coordinates):
Zr 0.500 0.500 0.500
I 0.000 0.000 0.500
N 0.000 0.500 0.000
N 0.500 0.000 0.000
Ru 0.000 0.000 0.000

Its crystal system is tetragonal. As for the density of states at the Fermi level: 0.976 states/eV/atom. The density comes out at 6.75 g/cm3.



Which of them is most stable? Easy: entry one.



Entry one
Below is a relaxed structure of SbSIN2, with properties calculated at the PBE-GGA level.

Cell: 3.989 3.989 7.446 Å, 90.00 90.00 90.00°
Atoms (fractional coordinates):
N 0.500 0.000 0.000
Sb 0.000 0.000 0.000
N 0.000 0.500 0.000
I 0.000 0.000 0.500
S 0.500 0.500 0.500

Its crystal system is tetragonal. As for the density of states at the Fermi level: 0.626 states/eV/atom. The density comes out at 4.33 g/cm3.



Entry two
Below is a relaxed structure of SbSIN2, with properties calculated at the PBE-GGA level.

Cell: 4.176 4.176 5.126 Å, 90.00 90.00 90.00°
Atoms (fractional coordinates):
N 0.500 0.000 0.000
Sb 0.500 0.500 0.500
I 0.000 0.000 0.500
S 0.000 0.000 0.000
N 0.000 0.500 0.000

Its crystal system is tetragonal. As for the density of states at the Fermi level: 0.624 states/eV/atom. The density comes out at 5.73 g/cm3.



Entry three
Below is a relaxed structure of SbSIN2, with properties calculated at the PBE-GGA level.

Cell: 4.011 4.011 6.218 Å, 90.00 90.00 90.00°
Atoms (fractional coordinates):
Sb 0.000 0.000 0.000
S 0.000 0.000 0.500
N 0.000 0.500 0.000
N 0.500 0.000 0.000
I 0.500 0.500 0.500

Its crystal system is tetragonal. As for the density of states at the Fermi level: 0.754 states/eV/atom. The density comes out at 5.12 g/cm3.



Which of them is most stable? Easy: entry three.



Entry one
Below is a relaxed structure of SbSI2N, with properties calculated at the PBE-GGA level.

Cell: 6.155 6.155 3.978 Å, 90.00 90.00 90.00°
Atoms (fractional coordinates):
N 0.000 0.000 0.500
I 0.000 0.500 0.000
I 0.500 0.000 0.000
Sb 0.000 0.000 0.000
S 0.500 0.500 0.500

Its crystal system is tetragonal. As for the density of states at the Fermi level: 0.820 states/eV/atom. The density comes out at 4.65 g/cm3.



Entry two
Below is a relaxed structure of SbSI2N, with properties calculated at the PBE-GGA level.

Cell: 4.731 4.731 5.292 Å, 90.00 90.00 90.00°
Atoms (fractional coordinates):
Sb 0.000 0.000 0.500
S 0.500 0.500 0.500
I 0.500 0.000 0.000
N 0.000 0.000 0.000
I 0.000 0.500 0.000

Its crystal system is tetragonal. As for the density of states at the Fermi level: 0.840 states/eV/atom. The density comes out at 5.91 g/cm3.



Which of them is most stable? Easy: entry one.